1.
DFT (PBE-GGA) results for Ce2Al3Hg after structural relaxation.

Structure (CIF):
```
data_Ce2Al3Hg
_chemical_formula_sum 'Ce16 Al24 Hg8'
_cell_length_a 7.1824
_cell_length_b 9.4017
_cell_length_c 16.2934
_cell_angle_alpha 90.00
_cell_angle_beta 90.00
_cell_angle_gamma 90.00
_space_group_name_H-M_alt 'F m m m'
_space_group_IT_number 69
_space_group_name_Hall '-F 2 2'
loop_
_atom_site_label
_atom_site_type_symbol
_atom_site_fract_x
_atom_site_fract_y
_atom_site_fract_z
_atom_site_occupancy
Ce1 Ce 0.2462 0.0000 0.0000 1
Ce2 Ce 0.2500 0.2500 0.2500 1
Al1 Al 0.0000 0.0000 0.3368 1
Al2 Al 0.0000 0.2451 0.4180 1
Hg1 Hg 0.0000 0.0000 0.1672 1
```

Computed properties:
- Uncorrected energy: -4.266 eV per atom
- E_form: -212 kJ/mol of formula units


2.
DFT (PBE-GGA) results for CeAlHg2 after structural relaxation.

Structure (CIF):
```
data_CeAlHg2
_chemical_formula_sum 'Ce1 Al1 Hg2'
_cell_length_a 3.5780
_cell_length_b 3.5780
_cell_length_c 7.4138
_cell_angle_alpha 90.00
_cell_angle_beta 90.00
_cell_angle_gamma 90.00
_space_group_name_H-M_alt 'P 4/m m m'
_space_group_IT_number 123
_space_group_name_Hall '-P 4 2'
loop_
_atom_site_label
_atom_site_type_symbol
_atom_site_fract_x
_atom_site_fract_y
_atom_site_fract_z
_atom_site_occupancy
Ce1 Ce 0.0000 0.0000 0.0000 1
Al1 Al 0.0000 0.0000 0.5000 1
Hg1 Hg 0.5000 0.5000 0.2829 1
```

Computed properties:
- Uncorrected energy: -2.717 eV per atom
- E_form: -57 kJ/mol of formula units


3.
DFT (PBE-GGA) results for Ce2Al2Hg after structural relaxation.

Structure (CIF):
```
data_Ce2Al2Hg
_chemical_formula_sum 'Ce4 Al4 Hg2'
_cell_length_a 4.6837
_cell_length_b 13.7711
_cell_length_c 3.6041
_cell_angle_alpha 90.00
_cell_angle_beta 90.00
_cell_angle_gamma 90.00
_space_group_name_H-M_alt 'C m m m'
_space_group_IT_number 65
_space_group_name_Hall '-C 2 2'
loop_
_atom_site_label
_atom_site_type_symbol
_atom_site_fract_x
_atom_site_fract_y
_atom_site_fract_z
_atom_site_occupancy
Ce1 Ce 0.0000 0.1107 0.0000 1
Al1 Al 0.0000 0.2980 0.5000 1
Hg1 Hg 0.0000 0.5000 0.5000 1
```

Computed properties:
- Uncorrected energy: -4.270 eV per atom
- E_form: -164 kJ/mol of formula units


4.
DFT (PBE-GGA) results for Ce3Al2Hg3 after structural relaxation.

Structure (CIF):
```
data_Ce3Al2Hg3
_chemical_formula_sum 'Ce12 Al8 Hg12'
_cell_length_a 4.6538
_cell_length_b 11.2296
_cell_length_c 15.4950
_cell_angle_alpha 90.00
_cell_angle_beta 90.00
_cell_angle_gamma 90.00
_space_group_name_H-M_alt 'C m c m'
_space_group_IT_number 63
_space_group_name_Hall '-C 2c 2'
loop_
_atom_site_label
_atom_site_type_symbol
_atom_site_fract_x
_atom_site_fract_y
_atom_site_fract_z
_atom_site_occupancy
Ce1 Ce 0.0000 0.0857 0.1071 1
Ce2 Ce 0.0000 0.3657 0.2500 1
Al1 Al 0.0000 0.2073 0.6044 1
Hg1 Hg 0.0000 0.3494 0.7500 1
Hg2 Hg 0.0000 0.3774 0.0376 1
```

Computed properties:
- Uncorrected energy: -3.589 eV per atom
- E_form: -243 kJ/mol of formula units


5.
DFT (PBE-GGA) results for Ce9Al2Hg after structural relaxation.

Structure (CIF):
```
data_Ce9Al2Hg
_chemical_formula_sum 'Ce9 Al2 Hg1'
_cell_length_a 4.6948
_cell_length_b 4.6948
_cell_length_c 14.1780
_cell_angle_alpha 90.00
_cell_angle_beta 90.00
_cell_angle_gamma 90.00
_space_group_name_H-M_alt 'P 4/m m m'
_space_group_IT_number 123
_space_group_name_Hall '-P 4 2'
loop_
_atom_site_label
_atom_site_type_symbol
_atom_site_fract_x
_atom_site_fract_y
_atom_site_fract_z
_atom_site_occupancy
Ce1 Ce 0.0000 0.0000 0.0000 1
Ce2 Ce 0.0000 0.0000 0.3353 1
Ce3 Ce 0.0000 0.5000 0.1740 1
Ce4 Ce 0.0000 0.5000 0.5000 1
Al1 Al 0.5000 0.5000 0.3353 1
Hg1 Hg 0.5000 0.5000 0.0000 1
```

Computed properties:
- Uncorrected energy: -5.236 eV per atom
- E_form: -159 kJ/mol of formula units


6.
DFT (PBE-GGA) results for CeAlHg after structural relaxation.

Structure (CIF):
```
data_CeAlHg
_chemical_formula_sum 'Ce2 Al2 Hg2'
_cell_length_a 3.3143
_cell_length_b 3.3143
_cell_length_c 12.5758
_cell_angle_alpha 90.00
_cell_angle_beta 90.00
_cell_angle_gamma 90.00
_space_group_name_H-M_alt 'I 4 m m'
_space_group_IT_number 107
_space_group_name_Hall 'I 4 -2'
loop_
_atom_site_label
_atom_site_type_symbol
_atom_site_fract_x
_atom_site_fract_y
_atom_site_fract_z
_atom_site_occupancy
Ce1 Ce 0.0000 0.0000 0.0000 1
Al1 Al 0.0000 0.0000 0.3316 1
Hg1 Hg 0.0000 0.0000 0.6908 1
```

Computed properties:
- Uncorrected energy: -3.513 eV per atom
- E_form: -54 kJ/mol of formula units
- ΔE to the lowest computed polymorph: 0.170 eV per atom


7.
DFT (PBE-GGA) results for CeAlHg2 after structural relaxation.

Structure (CIF):
```
data_CeAlHg2
_chemical_formula_sum 'Ce1 Al1 Hg2'
_cell_length_a 4.5637
_cell_length_b 4.5637
_cell_length_c 4.6500
_cell_angle_alpha 90.00
_cell_angle_beta 90.00
_cell_angle_gamma 90.00
_space_group_name_H-M_alt 'P 4/m m m'
_space_group_IT_number 123
_space_group_name_Hall '-P 4 2'
loop_
_atom_site_label
_atom_site_type_symbol
_atom_site_fract_x
_atom_site_fract_y
_atom_site_fract_z
_atom_site_occupancy
Ce1 Ce 0.0000 0.0000 0.0000 1
Al1 Al 0.5000 0.5000 0.0000 1
Hg1 Hg 0.0000 0.5000 0.5000 1
```

Computed properties:
- Uncorrected energy: -2.765 eV per atom
- E_form: -75 kJ/mol of formula units


8.
DFT (PBE-GGA) results for CeAlHg after structural relaxation.

Structure (CIF):
```
data_CeAlHg
_chemical_formula_sum 'Ce3 Al3 Hg3'
_cell_length_a 4.7829
_cell_length_b 4.7829
_cell_length_c 10.8841
_cell_angle_alpha 90.00
_cell_angle_beta 90.00
_cell_angle_gamma 120.00
_space_group_name_H-M_alt 'P -6 m 2'
_space_group_IT_number 187
_space_group_name_Hall 'P -6 2'
loop_
_atom_site_label
_atom_site_type_symbol
_atom_site_fract_x
_atom_site_fract_y
_atom_site_fract_z
_atom_site_occupancy
Ce1 Ce 0.0000 0.0000 0.0000 1
Ce2 Ce 0.0000 0.0000 0.3304 1
Al1 Al 0.3333 0.6667 0.5000 1
Al2 Al 0.6667 0.3333 0.1455 1
Hg1 Hg 0.3333 0.6667 0.1836 1
Hg2 Hg 0.6667 0.3333 0.5000 1
```

Computed properties:
- Uncorrected energy: -3.679 eV per atom
- E_form: -102 kJ/mol of formula units
- ΔE to the lowest computed polymorph: 0.003 eV per atom


9.
DFT (PBE-GGA) results for Ce12AlHg3 after structural relaxation.

Structure (CIF):
```
data_Ce12AlHg3
_chemical_formula_sum 'Ce12 Al1 Hg3'
_cell_length_a 4.7424
_cell_length_b 4.7424
_cell_length_c 19.0547
_cell_angle_alpha 90.00
_cell_angle_beta 90.00
_cell_angle_gamma 90.00
_space_group_name_H-M_alt 'P 4/m m m'
_space_group_IT_number 123
_space_group_name_Hall '-P 4 2'
loop_
_atom_site_label
_atom_site_type_symbol
_atom_site_fract_x
_atom_site_fract_y
_atom_site_fract_z
_atom_site_occupancy
Ce1 Ce 0.0000 0.0000 0.0000 1
Ce2 Ce 0.0000 0.0000 0.2460 1
Ce3 Ce 0.0000 0.0000 0.5000 1
Ce4 Ce 0.0000 0.5000 0.1193 1
Ce5 Ce 0.0000 0.5000 0.3737 1
Al1 Al 0.5000 0.5000 0.0000 1
Hg1 Hg 0.5000 0.5000 0.2477 1
Hg2 Hg 0.5000 0.5000 0.5000 1
```

Computed properties:
- Uncorrected energy: -4.847 eV per atom
- E_form: -164 kJ/mol of formula units


10.
DFT (PBE-GGA) results for Ce6AlHg5 after structural relaxation.

Structure (CIF):
```
data_Ce6AlHg5
_chemical_formula_sum 'Ce12 Al2 Hg10'
_cell_length_a 5.3853
_cell_length_b 7.5831
_cell_length_c 16.1725
_cell_angle_alpha 90.00
_cell_angle_beta 90.00
_cell_angle_gamma 90.00
_space_group_name_H-M_alt 'I m m m'
_space_group_IT_number 71
_space_group_name_Hall '-I 2 2'
loop_
_atom_site_label
_atom_site_type_symbol
_atom_site_fract_x
_atom_site_fract_y
_atom_site_fract_z
_atom_site_occupancy
Ce1 Ce 0.0000 0.2360 0.0000 1
Ce2 Ce 0.0000 0.2573 0.3380 1
Al1 Al 0.0000 0.5000 0.5000 1
Hg1 Hg 0.0000 0.0000 0.1742 1
Hg2 Hg 0.0000 0.0000 0.5000 1
Hg3 Hg 0.0000 0.5000 0.1653 1
```

Computed properties:
- Uncorrected energy: -3.673 eV per atom
- E_form: -310 kJ/mol of formula units


11.
DFT (PBE-GGA) results for Ce5AlHg after structural relaxation.

Structure (CIF):
```
data_Ce5AlHg
_chemical_formula_sum 'Ce20 Al4 Hg4'
_cell_length_a 8.2238
_cell_length_b 8.7753
_cell_length_c 10.6927
_cell_angle_alpha 90.00
_cell_angle_beta 111.26
_cell_angle_gamma 90.00
_space_group_name_H-M_alt 'C 1 2/c 1'
_space_group_IT_number 15
_space_group_name_Hall '-C 2yc'
loop_
_atom_site_label
_atom_site_type_symbol
_atom_site_fract_x
_atom_site_fract_y
_atom_site_fract_z
_atom_site_occupancy
Ce1 Ce 0.0000 0.0722 0.2500 1
Ce2 Ce 0.1485 0.1131 0.0194 1
Ce3 Ce 0.1499 0.4024 0.1723 1
Al1 Al 0.0000 0.2957 0.7500 1
Hg1 Hg 0.2500 0.2500 0.5000 1
```

Computed properties:
- Uncorrected energy: -4.872 eV per atom
- E_form: -37 kJ/mol of formula units


12.
DFT (PBE-GGA) results for Ce5AlHg4 after structural relaxation.

Structure (CIF):
```
data_Ce5AlHg4
_chemical_formula_sum 'Ce5 Al1 Hg4'
_cell_length_a 3.3012
_cell_length_b 3.3012
_cell_length_c 23.1568
_cell_angle_alpha 90.00
_cell_angle_beta 90.00
_cell_angle_gamma 90.00
_space_group_name_H-M_alt 'P 4/m m m'
_space_group_IT_number 123
_space_group_name_Hall '-P 4 2'
loop_
_atom_site_label
_atom_site_type_symbol
_atom_site_fract_x
_atom_site_fract_y
_atom_site_fract_z
_atom_site_occupancy
Ce1 Ce 0.0000 0.0000 0.0000 1
Ce2 Ce 0.0000 0.0000 0.2030 1
Ce3 Ce 0.0000 0.0000 0.4073 1
Al1 Al 0.5000 0.5000 0.5000 1
Hg1 Hg 0.5000 0.5000 0.1015 1
Hg2 Hg 0.5000 0.5000 0.3043 1
```

Computed properties:
- Uncorrected energy: -3.765 eV per atom
- E_form: -292 kJ/mol of formula units